No. 1
Here is a relaxed structure of TlHgW2 from the Alexandria database. Energies are from PBE.

Properties
The energy above the most stable polymorph in this dataset is 186 meV/atom. The value obtained for the magnetic moment is 0.00 μB/f.u. Its energy relative to the elements is 3.1 eV/f.u. As for the total energy: -25.45 eV per cell. The space group is R3m, No. 160. As for the density of states at the Fermi level: 3.98 states/eV/cell.

a = 10.8932 Å, b = 10.8932 Å, c = 10.8932 Å
α = 15.51°, β = 15.51°, γ = 15.51°
With the nearest neighbours (Å) after each atom.
Fractional positions:
1 Tl 0.0000 0.0000 0.0000  6 Tl 2.94, 3 W 3.14
2 Hg 0.2327 0.2327 0.2327  6 Hg 2.94, 3 W 3.07
3 W 0.4867 0.4867 0.4867  9 W 2.86-2.94, 3 Hg 3.07
4 W 0.7486 0.7486 0.7486  9 W 2.86-2.94, 3 Tl 3.14

***

No. 2
Here is a relaxed structure of Ba2LiHIr from the Alexandria database. Energies are from PBE.

Properties
The energy above the most stable polymorph in this dataset is 9 meV/atom. The value obtained for the magnetic moment is 0.01 μB/f.u. As for the total energy: -18.24 eV per cell. The space group is P4/mmm, No. 123. As for the density of states at the Fermi level: 4.07 states/eV/cell.

a = 5.3609 Å, b = 5.3609 Å, c = 4.1542 Å
α = 90.00°, β = 90.00°, γ = 90.00°
With the nearest neighbours (Å) after each atom.
Fractional positions:
1 Ba 0.0000 0.5000 0.0000  2 H 2.68
2 Ba 0.5000 0.0000 0.0000  2 H 2.68
3 Li 0.0000 0.0000 0.5000  2 H 2.08
4 H 0.0000 0.0000 0.0000  2 Li 2.08
5 Ir 0.5000 0.5000 0.5000  8 Ba 3.39, 4 Li 3.79

***

No. 3
Here is a relaxed structure of TiBe2S from the Alexandria database. Energies are from PBE.

Properties
The value obtained for the magnetic moment is 0.00 μB/f.u. As for the total energy: -39.70 eV per cell. The value obtained for the uncorrected formation energy is -0.4 eV/f.u. The space group is I-42d, No. 122. As for the density of states at the Fermi level: 4.92 states/eV/cell.

a = 5.2076 Å, b = 5.2076 Å, c = 5.2076 Å
α = 101.56°, β = 101.56°, γ = 126.81°
With the nearest neighbours (Å) after each atom.
Fractional positions:
1 Ti 0.0000 0.0000 0.0000  2 S 2.33
2 Ti 0.7500 0.2500 0.5000  2 S 2.33
3 Be 0.1819 0.6250 0.0569  2 S 2.16
4 Be 0.3750 0.4319 0.5569  2 S 2.16
5 Be 0.5681 0.1250 0.9431  2 S 2.16
6 Be 0.8750 0.8181 0.4431  2 S 2.16
7 S 0.2500 0.7500 0.5000  4 Be 2.16, 2 Ti 2.33
8 S 0.5000 0.5000 0.0000  4 Be 2.16, 2 Ti 2.33

***

The highest magnetic moment belongs to which entry?
Ba2LiHIr